VASP calculation (GGA-PBE) on a geometry-optimized InFeCo2C structure.

a b c (Å): 3.820 3.820 3.797
angles (deg): 90.00 90.00 90.00
Fractional coordinates of all 5 atoms:
In (0.000, 0.000, 0.000)
Fe (0.500, 0.500, 0.000)
Co (0.000, 0.500, 0.500)
Co (0.500, 0.000, 0.500)
C (0.500, 0.500, 0.500)

## Properties
Its crystal system is tetragonal. The formation energy from the elements is 0.05 eV/atom. The final energy is -6.88 eV per atom. The calculation puts the density of states at the Fermi level at 4.25 states/eV/f.u.



VASP calculation (GGA-PBE) on a geometry-optimized Ca8TlCd2 structure.

a b c (Å): 8.713 8.713 5.877
angles (deg): 99.39 99.39 113.77
Fractional coordinates of all 11 atoms:
Ca (0.073, 0.322, 0.591)
Ca (0.228, 0.772, 0.000)
Ca (0.322, 0.073, 0.591)
Ca (0.372, 0.372, 0.187)
Ca (0.628, 0.628, 0.813)
Ca (0.678, 0.927, 0.409)
Ca (0.772, 0.228, 0.000)
Ca (0.927, 0.678, 0.409)
Tl (0.000, 0.000, 0.000)
Cd (0.315, 0.685, 0.500)
Cd (0.685, 0.315, 0.500)

## Properties
Its crystal system is monoclinic. The formation energy from the elements is -0.17 eV/atom. The final energy is -2.01 eV per atom. The calculation puts the density of states at the Fermi level at 9.06 states/eV/f.u. The polymorph energy (0 for the lowest one) comes out at 12.4 meV per atom.



VASP calculation (GGA-PBE) on a geometry-optimized Na2SrTcO4 structure.

a b c (Å): 6.755 6.755 6.755
angles (deg): 122.12 103.11 103.97
Fractional coordinates of all 16 atoms:
Na (0.000, 0.000, 0.000)
Na (0.500, 0.000, 0.000)
Na (0.500, 0.000, 0.500)
Na (0.500, 0.500, 0.500)
Sr (0.000, 0.500, 0.500)
Sr (0.500, 0.500, 0.000)
Tc (0.000, 0.000, 0.500)
Tc (0.000, 0.500, 0.000)
O (0.230, 0.000, 0.730)
O (0.230, 0.500, 0.230)
O (0.231, 0.244, 0.513)
O (0.231, 0.718, 0.987)
O (0.769, 0.282, 0.013)
O (0.769, 0.756, 0.487)
O (0.770, 0.000, 0.270)
O (0.770, 0.500, 0.770)

## Properties
Its crystal system is orthorhombic. The final energy is -6.02 eV per atom. The calculation puts the density of states at the Fermi level at 3.48 states/eV/f.u. As for the uncorrected formation energy: -1.710 eV/atom.



VASP calculation (GGA-PBE) on a geometry-optimized La2TmF structure.

a b c (Å): 9.005 9.005 9.005
angles (deg): 24.87 24.87 24.87
Fractional coordinates of all 4 atoms:
La (0.223, 0.223, 0.223)
La (0.777, 0.777, 0.777)
Tm (0.000, 0.000, 0.000)
F (0.500, 0.500, 0.500)

## Properties
Its crystal system is trigonal. The final energy is -5.19 eV per atom. The calculation puts the density of states at the Fermi level at 5.64 states/eV/f.u. As for the uncorrected formation energy: -1.137 eV/atom.